Entry 1:
La2AlHg3: optimized geometry, PBE-GGA.

size of the total moment = 0.086 μB/f.u.
uncorrected energy = -2.888 eV per atom
formation enthalpy at 0 K = -0.47 eV/atom

```
data_La2AlHg3
_chemical_formula_sum 'La16 Al8 Hg24'
_cell_length_a 7.6092
_cell_length_b 9.8128
_cell_length_c 17.0267
_cell_angle_alpha 90.00
_cell_angle_beta 90.00
_cell_angle_gamma 90.00
_space_group_name_H-M_alt 'F m m m'
_space_group_IT_number 69
_space_group_name_Hall '-F 2 2'
loop_
_atom_site_label
_atom_site_type_symbol
_atom_site_fract_x
_atom_site_fract_y
_atom_site_fract_z
La1 La 0.2356 0.0000 0.0000
La2 La 0.2500 0.2500 0.2500
Al1 Al 0.0000 0.0000 0.3341
Hg1 Hg 0.0000 0.0000 0.1721
Hg2 Hg 0.0000 0.2389 0.4143
```

=====

Entry 2:
Y4C: optimized geometry, PBE-GGA.

excess energy over the best structure of this formula in the dataset = 68.7 meV per atom
size of the total moment = 0.000 μB/f.u.
uncorrected energy = -7.041 eV per atom
formation enthalpy at 0 K = -0.03 eV/atom

```
data_Y4C
_chemical_formula_sum 'Y4 C1'
_cell_length_a 5.0771
_cell_length_b 5.0771
_cell_length_c 5.0771
_cell_angle_alpha 90.00
_cell_angle_beta 90.00
_cell_angle_gamma 90.00
_space_group_name_H-M_alt 'P m -3 m'
_space_group_IT_number 221
_space_group_name_Hall '-P 4 2 3'
loop_
_atom_site_label
_atom_site_type_symbol
_atom_site_fract_x
_atom_site_fract_y
_atom_site_fract_z
Y1 Y 0.0000 0.0000 0.0000
Y2 Y 0.0000 0.5000 0.5000
C1 C 0.5000 0.5000 0.5000
```

=====

Entry 3:
PmHo8Er2: optimized geometry, PBE-GGA.

excess energy over the best structure of this formula in the dataset = 0.0 meV per atom
size of the total moment = 0.004 μB/f.u.
uncorrected energy = -4.475 eV per atom
formation enthalpy at 0 K = 0.12 eV/atom

```
data_PmHo8Er2
_chemical_formula_sum 'Pm2 Ho16 Er4'
_cell_length_a 5.4659
_cell_length_b 8.0697
_cell_length_c 15.8471
_cell_angle_alpha 90.00
_cell_angle_beta 90.00
_cell_angle_gamma 90.00
_space_group_name_H-M_alt 'I m m m'
_space_group_IT_number 71
_space_group_name_Hall '-I 2 2'
loop_
_atom_site_label
_atom_site_type_symbol
_atom_site_fract_x
_atom_site_fract_y
_atom_site_fract_z
Pm1 Pm 0.0000 0.0000 0.0000
Ho1 Ho 0.0000 0.2049 0.5000
Ho2 Ho 0.0000 0.2934 0.1394
Ho3 Ho 0.0000 0.5000 0.3365
Er1 Er 0.0000 0.0000 0.3003
```